(1)
VASP calculation (PBE+U) on VTcN2O after structural relaxation.

Calculated values
* total energy: -7.433 eV per atom
* crystal system: tetragonal

Cell: 3.8919 3.8919 3.8337 Å, 90.00 90.00 90.00°
Sites, in units of the cell vectors:
N  0.5000  0.0000  0.0000
N  0.0000  0.5000  0.0000
O  0.0000  0.0000  0.5000
V  0.5000  0.5000  0.5000
Tc  0.0000  0.0000  0.0000

---

(2)
VASP calculation (PBE+U) on VTcN2O after structural relaxation.

Calculated values
* total energy: -7.389 eV per atom
* crystal system: tetragonal

Cell: 3.8900 3.8900 3.6508 Å, 90.00 90.00 90.00°
Sites, in units of the cell vectors:
N  0.0000  0.5000  0.0000
N  0.5000  0.0000  0.0000
V  0.0000  0.0000  0.0000
O  0.0000  0.0000  0.5000
Tc  0.5000  0.5000  0.5000